This record from Alexandria describes NbCoO2F after structural relaxation. The functional is PBE+U.

Cell lengths 4.0143, 4.0143, 4.1977 Å; angles 90.00, 90.00, 90.00 degrees
Last column: magnetic moment on the atom in μB.
Element x y z (fractional)
Nb 0.0000 0.0000 0.0000  0.29
Co 0.5000 0.5000 0.5000  2.36
O 0.0000 0.5000 0.0000  0.01
O 0.5000 0.0000 0.0000  0.01
F 0.0000 0.0000 0.5000  0.01

Results
D(E_F) in states/eV/atom: 1.21
E in eV/atom: -6.75
Crystal system: tetragonal